a) DFT (PBE) results for crystalline Cd5Ag2Pd at its relaxed geometry.

Structure (POSCAR):
```
Cd5Ag2Pd
1.0
-3.732 3.732 5.716
3.732 -3.732 5.716
3.732 3.732 -5.716
Cd Ag Pd
10 4 2
direct
0.000 0.000 0.000
0.007 0.507 0.189
0.182 0.993 0.500
0.318 0.818 0.811
0.493 0.682 0.500
0.500 0.500 0.000
0.507 0.318 0.500
0.682 0.182 0.189
0.818 0.007 0.500
0.993 0.493 0.811
0.139 0.361 0.500
0.361 0.861 0.222
0.639 0.139 0.778
0.861 0.639 0.500
0.250 0.250 0.000
0.750 0.750 0.000
```

***

b) DFT (PBE) results for crystalline Cd5Ag2Pd at its relaxed geometry.

Structure (POSCAR):
```
Cd5Ag2Pd
1.0
5.832 0.000 0.000
0.000 11.650 0.000
0.000 0.000 4.588
Cd Ag Pd
10 4 2
direct
0.000 0.000 0.000
0.069 0.259 0.000
0.190 0.609 0.500
0.310 0.109 0.500
0.431 0.759 0.000
0.500 0.500 0.000
0.569 0.241 0.000
0.690 0.891 0.500
0.810 0.391 0.500
0.931 0.741 0.000
0.190 0.866 0.500
0.310 0.366 0.500
0.690 0.634 0.500
0.810 0.134 0.500
0.000 0.500 0.000
0.500 0.000 0.000
```

***

Which of them is most stable? Easy: b).

***

a) DFT (PBE) results for crystalline Cd4Ag7Pd at its relaxed geometry.

Structure (POSCAR):
```
Cd4Ag7Pd
1.0
5.189 0.000 0.000
-0.039 5.878 0.000
-2.425 -1.304 7.316
Cd Ag Pd
4 7 1
direct
0.177 0.422 0.174
0.321 0.840 0.822
0.679 0.160 0.178
0.823 0.578 0.826
0.000 0.500 0.500
0.170 0.918 0.171
0.327 0.333 0.831
0.497 0.245 0.503
0.503 0.755 0.497
0.673 0.667 0.169
0.830 0.082 0.829
0.000 0.000 0.500
```

***

b) DFT (PBE) results for crystalline Cd4Ag7Pd at its relaxed geometry.

Structure (POSCAR):
```
Cd4Ag7Pd
1.0
5.246 -2.579 0.000
5.246 2.579 0.000
-5.102 0.000 9.067
Cd Ag Pd
4 7 1
direct
0.047 0.047 0.372
0.408 0.408 0.217
0.592 0.592 0.783
0.953 0.953 0.628
0.000 0.000 0.000
0.207 0.207 0.915
0.275 0.275 0.690
0.351 0.351 0.463
0.649 0.649 0.537
0.725 0.725 0.310
0.793 0.793 0.085
0.500 0.500 0.000
```

***

Which of them is most stable? Easy: a).

***

a) DFT (PBE) results for crystalline Cd3Ag2Pd3 at its relaxed geometry.

Structure (POSCAR):
```
Cd3Ag2Pd3
1.0
9.138 -1.810 0.000
9.138 1.810 0.000
-1.031 0.000 4.277
Cd Ag Pd
3 2 3
direct
0.000 0.000 0.000
0.125 0.125 0.623
0.875 0.875 0.377
0.249 0.249 0.249
0.751 0.751 0.751
0.378 0.378 0.880
0.500 0.500 0.500
0.622 0.622 0.120
```

***

b) DFT (PBE) results for crystalline Cd3Ag2Pd3 at its relaxed geometry.

Structure (POSCAR):
```
Cd3Ag2Pd3
1.0
2.114 -4.630 0.000
2.114 4.630 0.000
0.000 0.000 15.083
Cd Ag Pd
6 4 6
direct
0.022 0.978 0.750
0.141 0.859 0.538
0.141 0.859 0.962
0.859 0.141 0.038
0.859 0.141 0.462
0.978 0.022 0.250
0.266 0.734 0.149
0.266 0.734 0.351
0.734 0.266 0.649
0.734 0.266 0.851
0.321 0.679 0.750
0.440 0.560 0.586
0.440 0.560 0.914
0.560 0.440 0.086
0.560 0.440 0.414
0.679 0.321 0.250
```

***

Which of them is most stable? Easy: a).